Entry 1:
Computed, not measured: crystalline MnBe4As at its relaxed geometry at the GGA-PBE level of DFT.

```
MnBe4As
1.0
-1.5016 -3.6709 1.6212
-1.6951 -0.0696 3.9345
-4.2188 -0.5515 0.5057
Mn Be As
1 4 1
Cartesian
-5.5616 -3.2189 4.5460 Mn
-3.5342 -3.4257 3.0828 Be
-4.8728 -1.8890 2.5333 Be
-3.6295 -1.6516 4.2224 Be
-2.7945 -1.6174 2.2842 Be
0.0000 0.0000 0.0000 As
```

Results
* DOS(E_F): 0.426 states/eV per atom
* M_tot: 0.00 Bohr magnetons per cell
* final energy: -4.758 eV per atom


Entry 2:
Computed, not measured: crystalline Pm7TmSn2 at its relaxed geometry at the GGA-PBE level of DFT.

```
Pm7TmSn2
1.0
-0.8149 0.7393 5.4637
4.2386 -7.9077 1.7022
4.9288 7.6817 -0.3044
Tm Sn Pm
1 2 7
Cartesian
0.0000 0.0000 0.0000 Tm
4.0405 -2.8106 3.8256 Sn
4.3121 3.3240 3.0360 Sn
4.3959 -4.3550 1.2449 Pm
7.1836 2.0979 3.6301 Pm
4.1763 0.2567 3.4308 Pm
1.3383 2.2420 2.7389 Pm
7.0142 -1.7286 4.1226 Pm
1.1689 -1.5845 3.2314 Pm
4.7715 4.1291 0.1529 Pm
```

Results
* DOS(E_F): 2.018 states/eV per atom
* M_tot: 0.00 Bohr magnetons per cell
* final energy: -4.401 eV per atom


Entry 3:
Computed, not measured: crystalline AgTeAs2Se at its relaxed geometry at the GGA-PBE level of DFT.

```
AgTeAs2Se
1.0
5.0382 0.0000 0.0000
0.0000 5.0382 0.0000
0.0000 0.0000 5.0349
As Te Ag Se
2 1 1 1
Cartesian
2.5191 0.0000 0.0000 As
0.0000 2.5191 0.0000 As
2.5191 2.5191 2.5175 Te
0.0000 0.0000 0.0000 Ag
0.0000 0.0000 2.5175 Se
```

Results
* DOS(E_F): 1.033 states/eV per atom
* energy relative to the lowest polymorph listed for this composition: 0.000 eV/atom
* M_tot: 0.00 Bohr magnetons per cell
* final energy: -2.983 eV per atom
* ΔE_f (raw): 0.772 eV per atom


Entry 4:
Computed, not measured: crystalline Li12Mg3H5 at its relaxed geometry at the GGA-PBE level of DFT.

```
Li12Mg3H5
1.0
-3.9787 -8.4377 -7.0945
11.4736 -1.5289 1.8374
-5.6945 -0.4913 10.2317
Li Mg H
48 12 20
Cartesian
5.3444 -5.4435 -1.2815 Li
1.4864 -2.5806 5.6586 Li
-4.0315 -6.4425 1.4414 Li
-0.3318 -6.9540 2.1992 Li
0.3139 -7.8774 -0.6839 Li
-3.9786 -9.3273 1.9487 Li
-1.9291 -8.9996 3.8002 Li
3.7294 -1.4583 1.1744 Li
2.0579 -6.2153 0.9829 Li
2.1322 -3.5039 2.7755 Li
-4.9408 -7.8047 4.0681 Li
6.7411 -2.6533 0.9066 Li
0.3562 -1.8210 -1.0647 Li
7.5834 -2.3321 5.1705 Li
-6.2240 -5.4699 2.8496 Li
2.8919 -9.0170 0.1146 Li
2.1647 -6.0225 7.1475 Li
-0.3643 -4.4354 -2.1728 Li
-3.5441 -5.0144 6.2561 Li
1.4441 -8.6369 6.0394 Li
0.2759 -4.0886 0.7884 Li
1.5244 -6.3693 4.1863 Li
-7.2775 -6.3901 5.4237 Li
-1.0916 -1.4410 4.8601 Li
-0.5901 -6.3719 6.2139 Li
4.6954 -2.0643 5.5827 Li
-3.6304 -2.1276 5.7652 Li
-4.0151 -3.8936 3.4596 Li
5.4307 -8.3303 -0.7905 Li
-6.1254 -3.8594 5.4913 Li
0.8456 -1.1537 1.5907 Li
5.8319 -4.0155 3.5333 Li
2.9422 -6.7628 -1.7559 Li
9.0778 -4.0679 -0.4490 Li
5.8154 -6.5644 1.5151 Li
8.0243 -4.9881 2.1250 Li
-2.8951 -8.3937 -0.6081 Li
2.8193 -0.8875 3.8999 Li
2.3904 -4.0861 -1.2392 Li
-7.6880 -8.1327 3.1049 Li
0.9547 -9.3042 3.3839 Li
-5.7831 -8.1258 -0.1959 Li
-1.0190 -9.5704 1.0747 Li
-0.2576 -4.2427 3.9918 Li
7.9257 -6.5986 -0.5166 Li
-1.1419 -3.6952 6.7305 Li
9.4883 -2.3252 1.8698 Li
5.7789 -1.1307 3.0260 Li
5.2712 -2.7610 8.3947 Mg
4.2553 -4.2425 1.0459 Mg
-1.7538 -5.8401 -0.1378 Mg
4.4120 -8.5911 -3.5506 Mg
-2.6117 -1.8669 8.5253 Mg
3.4963 -7.9732 2.6817 Mg
-3.4708 -7.6970 -3.4201 Mg
1.1936 -3.4949 8.3275 Mg
3.5541 -4.6179 5.1125 Mg
0.6067 -6.9630 -3.3529 Mg
-1.6959 -2.4848 2.2930 Mg
-2.4550 -6.2154 3.9288 Mg
5.7368 -0.7644 0.9187 H
0.0000 0.0000 0.0000 H
8.3329 -3.5086 1.1131 H
2.8895 -1.0101 6.0346 H
-1.9894 -4.2189 -3.5472 H
-6.5326 -6.9493 3.8616 H
-4.1721 -8.0723 0.6465 H
0.6646 -3.6078 -0.9221 H
0.9002 -5.2290 2.4873 H
-4.8366 -4.4645 1.5686 H
-4.3287 -3.7238 5.2430 H
2.3816 -1.7509 2.3602 H
3.7474 -4.9833 -2.6285 H
-2.8473 -0.2457 5.1159 H
-0.5813 -8.7071 2.6145 H
-0.2512 -2.9899 5.3102 H
2.0515 -7.4681 -0.3356 H
1.1358 -6.8502 5.8968 H
6.1291 -6.7342 -0.2684 H
5.9724 -2.3856 4.3281 H
```

Results
* DOS(E_F): 0.429 states/eV per atom
* M_tot: 0.00 Bohr magnetons per cell
* final energy: -2.236 eV per atom


Entry 5:
Computed, not measured: crystalline PuCd2O6 at its relaxed geometry at the GGA-PBE level of DFT.

```
PuCd2O6
1.0
-4.7640 1.1223 1.3616
1.2201 -0.7366 4.8763
2.5509 9.8055 0.8429
Cd O Pu
4 12 2
Cartesian
0.4208 1.6176 0.1390 Cd
-0.9174 3.4780 3.4013 Cd
-0.0757 6.7133 3.6794 Cd
2.1300 8.1879 0.7038 Cd
1.0085 3.0839 4.5198 O
1.0678 8.4978 2.6764 O
-0.2533 8.6416 5.0016 O
-0.7398 1.5497 2.0791 O
-2.0608 1.6935 4.4044 O
1.7519 5.9414 4.7655 O
-1.2937 5.1824 4.9435 O
-0.1260 -0.3184 4.0857 O
-3.4179 0.7042 2.1522 O
0.3007 5.0089 2.1372 O
-2.0016 7.1073 2.5609 O
-2.7449 4.2499 2.3153 O
-1.7720 0.1929 3.1189 Pu
1.2754 4.9028 0.4214 Pu
```

Results
* DOS(E_F): 0.429 states/eV per atom
* M_tot: 0.24 Bohr magnetons per cell
* final energy: -6.623 eV per atom
* ΔE_f (raw): -1.522 eV per atom


Entry 6:
Computed, not measured: crystalline Tb5Bi4S at its relaxed geometry at the GGA-PBE level of DFT.

```
Tb5Bi4S
1.0
-0.9627 2.6015 -5.6061
-7.2255 -0.1891 -2.3363
-1.6225 7.4173 0.2313
Bi Tb S
4 5 1
Cartesian
-2.3607 3.4119 -1.5125 Bi
-5.2796 2.9992 -4.6921 Bi
-4.5344 6.8394 -3.0380 Bi
-7.4532 6.4267 -6.2176 Bi
-2.6249 4.6578 -4.3791 Tb
-4.9402 8.3448 -5.7598 Tb
-0.4692 1.2681 -2.7326 Tb
-4.8739 1.4944 -1.9716 Tb
-7.1892 5.1814 -3.3523 Tb
-0.0084 0.0228 -0.0491 S
```

Results
* DOS(E_F): 0.261 states/eV per atom
* M_tot: 0.00 Bohr magnetons per cell
* final energy: -5.333 eV per atom
* ΔE_f (raw): -1.053 eV per atom